Record 1
A relaxed SrTl2SiH crystal. Source: Alexandria via LeMat-Bulk, functional GGA-PBE.

Geometry as POSCAR:
```
SrTl2SiH
1.0
5.772 0.000 0.000
0.000 5.772 0.000
0.000 0.000 3.648
Sr Tl Si H
1 2 1 1
Direct
0.000 0.000 0.000
0.000 0.500 0.500
0.500 0.000 0.500
0.500 0.500 0.500
0.500 0.500 0.000
```

Total magnetic moment ... 0.00 μB/cell
E ... -2.84 eV/atom


Record 2
A relaxed CaMgTc crystal. Source: Alexandria via LeMat-Bulk, functional GGA-PBE.

Geometry as POSCAR:
```
CaMgTc
1.0
-1.678 1.678 5.979
1.678 -1.678 5.979
1.678 1.678 -5.979
Ca Mg Tc
1 1 1
Direct
0.000 0.000 0.000
0.717 0.717 0.000
0.337 0.337 0.000
```

Formation energy from the elements ... 1.4 eV/f.u.
Total magnetic moment ... 1.70 μB/cell
Polymorph energy (0 for the lowest one) ... 8.4 meV/atom


Record 3
A relaxed GaNiHgC crystal. Source: Alexandria via LeMat-Bulk, functional GGA-PBE.

Geometry as POSCAR:
```
GaNiHgC
1.0
3.657 0.000 0.000
0.000 1.757 5.876
0.000 -1.757 5.876
Ga Ni Hg C
1 1 1 1
Direct
0.000 0.000 0.000
0.500 0.418 0.418
0.000 0.218 0.218
0.000 0.414 0.414
```

Formation energy from the elements ... 1.8 eV/f.u.
Total magnetic moment ... 0.00 μB/cell
Polymorph energy (0 for the lowest one) ... 0.0 meV/atom


Number 1: calculated density 7.18 g/cm³. Number 2: calculated density 4.00 g/cm³. Number 3: calculated density 7.50 g/cm³.